# 1
Material: YCrTe3
Method: DFT, PBE
State: optimized geometry

a b c (Å): 5.240 5.240 5.240
angles (deg): 90.00 90.00 90.00
Space group Pm-3m (No. 221)
Symmetry-distinct sites (fractional):
1 Y 0.000 0.000 0.000 x1
2 Cr 0.500 0.500 0.500 x1
3 Te 0.000 0.500 0.500 x3

Results
As for the calculated density: 6.04 g/cm³. As for the density of states at the Fermi level: 0.421 states/eV per atom. The raw formation energy comes out at -0.220 eV per atom. The calculation puts the electronic total energy at -5.322 eV per atom.

# 2
Material: YCrTe2
Method: DFT, PBE
State: optimized geometry

a b c (Å): 4.4740 4.4740 26.2332
angles (deg): 90.00 90.00 120.00
Space group R-3m (No. 166, hexagonal axes)
Symmetry-distinct sites (fractional):
1 Y 0.0000 0.0000 0.0000 x3
2 Cr 0.0000 0.0000 0.5000 x3
3 Te 0.0000 0.0000 0.3981 x6

Results
As for the calculated density: 4.34 g/cm³. As for the density of states at the Fermi level: 0.000 states/eV per atom. The raw formation energy comes out at -0.479 eV per atom. The calculation puts the electronic total energy at -6.071 eV per atom.

# 3
Material: Y2CrTe
Method: DFT, PBE
State: optimized geometry

a b c (Å): 4.181 4.181 6.306
angles (deg): 90.00 90.00 90.00
Space group P4mm (No. 99)
Symmetry-distinct sites (fractional):
1 Y 0.000 0.000 0.000 x1
2 Y 0.500 0.500 0.335 x1
3 Cr 0.000 0.000 0.491 x1
4 Te 0.500 0.500 0.830 x1

Results
As for the calculated density: 5.38 g/cm³. As for the density of states at the Fermi level: 0.811 states/eV per atom. The raw formation energy comes out at -0.210 eV per atom. The calculation puts the electronic total energy at -6.633 eV per atom.

# 4
Material: YCr2Te
Method: DFT, PBE
State: optimized geometry

a b c (Å): 4.395 4.395 4.483
angles (deg): 90.00 90.00 90.00
Space group P4/mmm (No. 123)
Symmetry-distinct sites (fractional):
1 Y 0.000 0.000 0.000 x1
2 Cr 0.000 0.500 0.500 x2
3 Te 0.500 0.500 0.000 x1

Results
As for the calculated density: 6.15 g/cm³. As for the density of states at the Fermi level: 0.982 states/eV per atom. The raw formation energy comes out at 0.248 eV per atom. The calculation puts the electronic total energy at -6.965 eV per atom.

# 5
Material: YCrTe2
Method: DFT, PBE
State: optimized geometry

a b c (Å): 4.130 4.022 13.360
angles (deg): 90.00 90.00 90.00
Space group Amm2 (No. 38)
Symmetry-distinct sites (fractional):
1 Y 0.000 0.000 0.000 x2
2 Cr 0.500 0.000 0.797 x2
3 Te 0.000 0.000 0.319 x2
4 Te 0.500 0.000 0.587 x2

Results
As for the calculated density: 5.93 g/cm³. As for the density of states at the Fermi level: 0.114 states/eV per atom. The raw formation energy comes out at -0.706 eV per atom. The calculation puts the electronic total energy at -6.299 eV per atom.

# 6
Material: YCrTe2
Method: DFT, PBE
State: optimized geometry

a b c (Å): 3.736 3.736 7.348
angles (deg): 90.00 90.00 90.00
Space group P4/mmm (No. 123)
Symmetry-distinct sites (fractional):
1 Y 0.000 0.000 0.000 x1
2 Cr 0.000 0.000 0.500 x1
3 Te 0.500 0.500 0.254 x2

Results
As for the calculated density: 6.41 g/cm³. As for the density of states at the Fermi level: 0.622 states/eV per atom. The raw formation energy comes out at -0.412 eV per atom. The calculation puts the electronic total energy at -6.004 eV per atom.

# 7
Material: YCr2Te
Method: DFT, PBE
State: optimized geometry

a b c (Å): 8.103 8.103 6.033
angles (deg): 90.00 90.00 90.00
Space group I-42d (No. 122)
Symmetry-distinct sites (fractional):
1 Y 0.000 0.000 0.000 x4
2 Cr 0.211 0.250 0.625 x8
3 Te 0.000 0.000 0.500 x4

Results
As for the calculated density: 5.37 g/cm³. As for the density of states at the Fermi level: 0.904 states/eV per atom. The raw formation energy comes out at 0.440 eV per atom. The calculation puts the electronic total energy at -6.773 eV per atom.

# 8
Material: YCrTe2
Method: DFT, PBE
State: optimized geometry

a b c (Å): 4.5093 4.5093 22.6897
angles (deg): 90.00 90.00 120.00
Space group R3m (No. 160, hexagonal axes)
Symmetry-distinct sites (fractional):
1 Y 0.0000 0.0000 0.0000 x3
2 Cr 0.0000 0.0000 0.2411 x3
3 Te 0.0000 0.0000 0.5587 x3
4 Te 0.0000 0.0000 0.7366 x3

Results
As for the calculated density: 4.94 g/cm³. As for the density of states at the Fermi level: 0.424 states/eV per atom. The raw formation energy comes out at -0.450 eV per atom. The calculation puts the electronic total energy at -6.043 eV per atom.

# 9
Material: Y2CrTe
Method: DFT, PBE
State: optimized geometry

a b c (Å): 4.781 4.781 8.919
angles (deg): 90.00 90.00 90.00
Space group I4/mmm (No. 139)
Symmetry-distinct sites (fractional):
1 Y 0.000 0.500 0.250 x4
2 Cr 0.000 0.000 0.000 x2
3 Te 0.000 0.000 0.500 x2

Results
As for the calculated density: 5.82 g/cm³. As for the density of states at the Fermi level: 0.930 states/eV per atom. The raw formation energy comes out at -0.184 eV per atom. The calculation puts the electronic total energy at -6.607 eV per atom.

# 10
Material: YCr2Te
Method: DFT, PBE
State: optimized geometry

a b c (Å): 7.073 7.073 7.073
angles (deg): 90.00 90.00 90.00
Space group F-43m (No. 216)
Symmetry-distinct sites (fractional):
1 Y 0.000 0.000 0.000 x4
2 Cr 0.000 0.000 0.500 x4
3 Cr 0.250 0.250 0.250 x4
4 Te 0.250 0.250 0.750 x4

Results
As for the calculated density: 6.02 g/cm³. As for the density of states at the Fermi level: 1.157 states/eV per atom. The raw formation energy comes out at 0.281 eV per atom. The calculation puts the electronic total energy at -6.932 eV per atom.

# 11
Material: YCrTe2
Method: DFT, PBE
State: optimized geometry

a b c (Å): 4.590 5.814 7.807
angles (deg): 90.00 90.00 90.00
Space group Immm (No. 71)
Symmetry-distinct sites (fractional):
1 Y 0.000 0.000 0.000 x2
2 Cr 0.000 0.000 0.500 x2
3 Te 0.000 0.500 0.219 x4

Results
As for the calculated density: 6.31 g/cm³. As for the density of states at the Fermi level: 0.557 states/eV per atom. The raw formation energy comes out at -0.471 eV per atom. The calculation puts the electronic total energy at -6.064 eV per atom.

# 12
Material: YCr2Te
Method: DFT, PBE
State: optimized geometry

a b c (Å): 3.651 3.651 6.621
angles (deg): 90.00 90.00 90.00
Space group P4mm (No. 99)
Symmetry-distinct sites (fractional):
1 Y 0.000 0.000 0.000 x1
2 Cr 0.000 0.000 0.457 x1
3 Cr 0.500 0.500 0.310 x1
4 Te 0.500 0.500 0.732 x1

Results
As for the calculated density: 6.03 g/cm³. As for the density of states at the Fermi level: 0.615 states/eV per atom. The raw formation energy comes out at 0.059 eV per atom. The calculation puts the electronic total energy at -7.155 eV per atom.